The following is a DFT calculation (PBE-GGA) of YNiRu2 after structural relaxation.

Properties
Space-group type: P4/mmm

Structure (POSCAR):
```
YNiRu2
1.0
-3.1746 0.2965 0.0086
-0.2963 -3.1695 -0.0987
-0.0012 -0.2003 6.4393
Ru Y Ni
2 1 1
Direct
0.0000 0.0000 0.5528
0.0000 0.0000 0.9472
0.5000 0.5000 0.2500
0.5000 0.5000 0.7500
```

***

The following is a DFT calculation (PBE-GGA) of YNi2Ru after structural relaxation.

Properties
Space-group type: Cm

Structure (POSCAR):
```
YNi2Ru
1.0
4.0511 -0.7147 0.5655
2.6093 3.1802 0.5655
1.5338 0.5678 5.0140
Y Ru Ni
1 1 2
Direct
0.7522 0.7522 0.7419
0.5592 0.5592 0.3227
0.9481 0.9481 0.1564
0.2404 0.2404 0.2790
```

***

Number 1: offset from the most stable computed form 113 meV/atom, formation energy 162 meV per atom, raw total energy -30.1 eV/f.u.. Number 2: offset from the most stable computed form 42 meV/atom, formation energy -144 meV per atom, raw total energy -27.9 eV/f.u..